Entry from Alexandria: an optimized crystal structure of LiZn2CdAu4 (PBE).

Properties
DFT formation energy	-288	meV/atom
magnetization	0.00	Bohr magnetons per cell
space-group type	R-3m (166)

Lattice parameters (Å, degrees): 4.5504 4.5504 7.9525 73.38 73.38 60.00
Sites, in units of the cell vectors:
Li1 0.5000 0.5000 0.5000
Zn1 0.7525 0.7525 0.7424
Zn2 0.2475 0.2475 0.2576
Cd1 0.0000 0.0000 0.0000
Au1 0.3823 0.3823 0.8531
Au2 0.8713 0.8713 0.3861
Au3 0.1287 0.1287 0.6139
Au4 0.6177 0.6177 0.1469